DFT (PBE-GGA) results for Nb4Tc after structural relaxation.

Lattice parameters (Å, degrees): 4.766 4.766 4.766 90.00 90.00 90.00
Space group Pm-3m (No. 221)
Unique sites:
1 Nb 0.000 0.000 0.000 [1 per cell]
2 Nb 0.000 0.500 0.500 [3 per cell]
3 Tc 0.500 0.500 0.500 [1 per cell]

## Properties
For the total energy, the calculation gives -8.98 eV/atom. The energy above the most stable polymorph in this dataset is 22.88 kcal/mol of atoms. The formation energy comes out at 553 kJ/mol of formula units. The crystal system is cubic.

***

DFT (PBE-GGA) results for Tl3In3Bi after structural relaxation.

Lattice parameters (Å, degrees): 9.2257 9.2257 17.0214 90.00 90.00 120.00
Space group R-3 (No. 148, hexagonal axes)
Unique sites:
1 Tl 0.0471 0.8079 0.4162 [18 per cell]
2 In 0.0503 0.8110 0.9199 [18 per cell]
3 Bi 0.0000 0.0000 0.2384 [6 per cell]

## Properties
For the total energy, the calculation gives -2.73 eV/atom. The energy above the most stable polymorph in this dataset is 0.00 kcal/mol of atoms. The formation energy comes out at 9 kJ/mol of formula units. The crystal system is trigonal.

***

DFT (PBE-GGA) results for Na2BeB after structural relaxation.

Lattice parameters (Å, degrees): 10.416 10.416 3.592 90.00 90.00 90.00
Space group I-42d (No. 122)
Unique sites:
1 Na 0.002 0.250 0.125 [8 per cell]
2 Be 0.000 0.000 0.500 [4 per cell]
3 B 0.000 0.000 0.000 [4 per cell]

## Properties
For the total energy, the calculation gives -2.76 eV/atom. The energy above the most stable polymorph in this dataset is 0.00 kcal/mol of atoms. The formation energy comes out at 194 kJ/mol of formula units. The crystal system is tetragonal.

***

DFT (PBE-GGA) results for Sm3DyPd12 after structural relaxation.

Lattice parameters (Å, degrees): 4.152 4.152 16.716 90.00 90.00 90.00
Space group P4/mmm (No. 123)
Unique sites:
1 Sm 0.000 0.000 0.000 [1 per cell]
2 Sm 0.000 0.000 0.252 [2 per cell]
3 Dy 0.000 0.000 0.500 [1 per cell]
4 Pd 0.000 0.500 0.126 [4 per cell]
5 Pd 0.000 0.500 0.378 [4 per cell]
6 Pd 0.500 0.500 0.000 [1 per cell]
7 Pd 0.500 0.500 0.251 [2 per cell]
8 Pd 0.500 0.500 0.500 [1 per cell]

## Properties
For the total energy, the calculation gives -5.89 eV/atom. The formation energy comes out at -1274 kJ/mol of formula units. The crystal system is tetragonal.

***

DFT (PBE-GGA) results for Mn2CdSb after structural relaxation.

Lattice parameters (Å, degrees): 4.254 4.254 7.979 90.00 90.00 90.00
Space group I4/mmm (No. 139)
Unique sites:
1 Mn 0.000 0.500 0.250 [4 per cell]
2 Cd 0.000 0.000 0.000 [2 per cell]
3 Sb 0.000 0.000 0.500 [2 per cell]

## Properties
The uncorrected formation energy comes out at 1.1 eV/f.u. For the total energy, the calculation gives -5.57 eV/atom. The energy above the most stable polymorph in this dataset is 0.51 kcal/mol of atoms. The crystal system is tetragonal.

***

DFT (PBE-GGA) results for PbCl2 after structural relaxation.

Lattice parameters (Å, degrees): 8.571 8.571 8.571 90.00 90.00 90.00
Space group Fd-3m (No. 227, origin choice 2)
Unique sites:
1 Pb 0.125 0.125 0.125 [8 per cell]
2 Cl 0.000 0.000 0.500 [16 per cell]

## Properties
The uncorrected formation energy comes out at 0.0 eV/f.u. For the total energy, the calculation gives -2.47 eV/atom. The crystal system is cubic.

***

DFT (PBE-GGA) results for GaCu2H after structural relaxation.

Lattice parameters (Å, degrees): 2.8054 2.8054 18.8861 90.00 90.00 120.00
Space group R3m (No. 160, hexagonal axes)
Unique sites:
1 Ga 0.0000 0.0000 0.0000 [3 per cell]
2 Cu 0.0000 0.0000 0.2243 [3 per cell]
3 Cu 0.0000 0.0000 0.4422 [3 per cell]
4 H 0.0000 0.0000 0.8319 [3 per cell]

## Properties
For the total energy, the calculation gives -3.53 eV/atom. The energy above the most stable polymorph in this dataset is 0.00 kcal/mol of atoms. The crystal system is trigonal.

***

DFT (PBE-GGA) results for LaPrNd3Y after structural relaxation.

Lattice parameters (Å, degrees): 8.208 5.228 10.401 90.00 108.42 90.00
Space group P2_1/m (No. 11)
Unique sites:
1 La 0.166 0.250 0.290 [2 per cell]
2 Pr 0.500 0.250 0.627 [2 per cell]
3 Nd 0.167 0.750 0.543 [2 per cell]
4 Nd 0.169 0.250 0.793 [2 per cell]
5 Nd 0.169 0.750 0.041 [2 per cell]
6 Y 0.498 0.750 0.877 [2 per cell]

## Properties
For the total energy, the calculation gives -5.06 eV/atom. The formation energy comes out at 9 kJ/mol of formula units. The crystal system is monoclinic.

***

DFT (PBE-GGA) results for PuHfU2P4 after structural relaxation.

Lattice parameters (Å, degrees): 6.668 3.864 6.780 90.00 109.09 90.00
Space group P2/m (No. 10)
Unique sites:
1 Pu 0.000 0.000 0.000 [1 per cell]
2 Hf 0.500 0.500 0.000 [1 per cell]
3 U 0.000 0.500 0.500 [1 per cell]
4 U 0.500 0.000 0.500 [1 per cell]
5 P 0.258 0.500 0.246 [2 per cell]
6 P 0.262 0.000 0.759 [2 per cell]

## Properties
For the total energy, the calculation gives -9.68 eV/atom. The formation energy comes out at -864 kJ/mol of formula units. The crystal system is monoclinic.

***

DFT (PBE-GGA) results for Rb2NaTl5Hg2 after structural relaxation.

Lattice parameters (Å, degrees): 12.105 12.105 4.643 90.00 90.00 90.00
Space group P4/mbm (No. 127)
Unique sites:
1 Rb 0.174 0.326 0.000 [4 per cell]
2 Na 0.000 0.000 0.000 [2 per cell]
3 Tl 0.000 0.500 0.500 [2 per cell]
4 Tl 0.059 0.806 0.500 [8 per cell]
5 Hg 0.127 0.627 0.000 [4 per cell]

## Properties
For the total energy, the calculation gives -1.65 eV/atom. The formation energy comes out at -83 kJ/mol of formula units. The crystal system is tetragonal.

***

DFT (PBE-GGA) results for TlAgTe2 after structural relaxation.

Lattice parameters (Å, degrees): 4.6959 4.6959 22.7684 90.00 90.00 120.00
Space group R3m (No. 160, hexagonal axes)
Unique sites:
1 Tl 0.0000 0.0000 0.0000 [3 per cell]
2 Ag 0.0000 0.0000 0.4833 [3 per cell]
3 Te 0.0000 0.0000 0.1260 [3 per cell]
4 Te 0.0000 0.0000 0.6094 [3 per cell]

## Properties
The uncorrected formation energy comes out at -0.4 eV/f.u. For the total energy, the calculation gives -2.98 eV/atom. The crystal system is trigonal.

***

DFT (PBE-GGA) results for CaIn3Pt after structural relaxation.

Lattice parameters (Å, degrees): 5.223 5.223 5.223 90.00 90.00 90.00
Space group Pm-3m (No. 221)
Unique sites:
1 Ca 0.000 0.000 0.000 [1 per cell]
2 In 0.000 0.500 0.500 [3 per cell]
3 Pt 0.500 0.500 0.500 [1 per cell]

## Properties
For the total energy, the calculation gives -3.49 eV/atom. The formation energy comes out at -117 kJ/mol of formula units. The crystal system is cubic.

***

DFT (PBE-GGA) results for La2Dy3Er after structural relaxation.

Lattice parameters (Å, degrees): 17.164 5.615 10.219 90.00 125.02 90.00
Space group C2/m (No. 12)
Unique sites:
1 La 0.011 0.000 0.366 [4 per cell]
2 La 0.227 0.500 0.367 [4 per cell]
3 Dy 0.051 0.500 0.899 [4 per cell]
4 Dy 0.112 0.000 0.153 [4 per cell]
5 Dy 0.205 0.000 0.923 [4 per cell]
6 Er 0.135 0.500 0.647 [4 per cell]

## Properties
For the total energy, the calculation gives -4.61 eV/atom. The energy above the most stable polymorph in this dataset is 1.53 kcal/mol of atoms. The formation energy comes out at 55 kJ/mol of formula units. The crystal system is monoclinic.

***

DFT (PBE-GGA) results for BaCoSnHg2 after structural relaxation.

Lattice parameters (Å, degrees): 5.201 5.201 4.933 90.00 90.00 90.00
Space group P4/mmm (No. 123)
Unique sites:
1 Ba 0.000 0.000 0.000 [1 per cell]
2 Co 0.500 0.500 0.500 [1 per cell]
3 Sn 0.500 0.500 0.000 [1 per cell]
4 Hg 0.000 0.500 0.500 [2 per cell]

## Properties
For the total energy, the calculation gives -2.95 eV/atom. The formation energy comes out at -109 kJ/mol of formula units. The crystal system is tetragonal.

***

DFT (PBE-GGA) results for TaReAu2 after structural relaxation.

Lattice parameters (Å, degrees): 2.829 2.829 8.563 90.00 90.00 90.00
Space group P4mm (No. 99)
Unique sites:
1 Ta 0.000 0.000 0.000 [1 per cell]
2 Re 0.500 0.500 0.761 [1 per cell]
3 Au 0.000 0.000 0.519 [1 per cell]
4 Au 0.500 0.500 0.248 [1 per cell]

## Properties
For the total energy, the calculation gives -7.55 eV/atom. The energy above the most stable polymorph in this dataset is 1.30 kcal/mol of atoms. The formation energy comes out at 63 kJ/mol of formula units. The crystal system is tetragonal.

***

DFT (PBE-GGA) results for CeSb2 after structural relaxation.

Lattice parameters (Å, degrees): 6.287 6.200 17.775 90.00 90.00 90.00
Space group Cmce (No. 64)
Unique sites:
1 Ce 0.000 0.141 0.110 [8 per cell]
2 Sb 0.000 0.139 0.433 [8 per cell]
3 Sb 0.250 0.118 0.750 [8 per cell]

## Properties
The uncorrected formation energy comes out at -2.3 eV/f.u. For the total energy, the calculation gives -5.51 eV/atom. The crystal system is orthorhombic.

***

DFT (PBE-GGA) results for Cr2SbRh2 after structural relaxation.

Lattice parameters (Å, degrees): 7.340 7.340 2.845 90.00 90.00 90.00
Space group P4/mbm (No. 127)
Unique sites:
1 Cr 0.108 0.392 0.000 [4 per cell]
2 Sb 0.000 0.000 0.000 [2 per cell]
3 Rh 0.173 0.673 0.500 [4 per cell]

## Properties
The uncorrected formation energy comes out at 1.1 eV/f.u. For the total energy, the calculation gives -7.40 eV/atom. The energy above the most stable polymorph in this dataset is 2.12 kcal/mol of atoms. The crystal system is tetragonal.

***

DFT (PBE-GGA) results for TbPm5PrEr2 after structural relaxation.

Lattice parameters (Å, degrees): 5.695 20.343 10.612 90.00 90.00 90.00
Space group Cmc2_1 (No. 36)
Unique sites:
1 Tb 0.000 0.199 0.000 [4 per cell]
2 Pm 0.000 0.017 0.010 [4 per cell]
3 Pm 0.000 0.280 0.301 [4 per cell]
4 Pm 0.000 0.297 0.696 [4 per cell]
5 Pm 0.000 0.388 0.012 [4 per cell]
6 Pm 0.000 0.478 0.728 [4 per cell]
7 Pr 0.000 0.413 0.439 [4 per cell]
8 Er 0.000 0.113 0.722 [4 per cell]
9 Er 0.000 0.116 0.308 [4 per cell]

## Properties
For the total energy, the calculation gives -4.55 eV/atom. The formation energy comes out at 132 kJ/mol of formula units. The crystal system is orthorhombic.

***

DFT (PBE-GGA) results for Cs3Cr2I9 after structural relaxation.

Lattice parameters (Å, degrees): 14.0612 14.0612 22.2110 90.00 90.00 120.00
Space group R-3c (No. 167, hexagonal axes)
Unique sites:
1 Cs 0.0000 0.3389 0.2500 [18 per cell]
2 Cr 0.0000 0.0000 0.1685 [12 per cell]
3 I 0.0000 0.1527 0.7500 [18 per cell]
4 I 0.0007 0.1629 0.3968 [36 per cell]

## Properties
The uncorrected formation energy comes out at -12.6 eV/f.u. For the total energy, the calculation gives -3.46 eV/atom. The energy above the most stable polymorph in this dataset is 0.32 kcal/mol of atoms. The crystal system is trigonal.

***

DFT (PBE-GGA) results for Tm2AlSn4 after structural relaxation.

Lattice parameters (Å, degrees): 4.363 4.363 9.515 90.00 90.00 90.00
Space group P-4m2 (No. 115)
Unique sites:
1 Tm 0.000 0.500 0.242 [2 per cell]
2 Al 0.500 0.500 0.000 [1 per cell]
3 Sn 0.000 0.000 0.500 [1 per cell]
4 Sn 0.000 0.500 0.825 [2 per cell]
5 Sn 0.500 0.500 0.500 [1 per cell]

## Properties
For the total energy, the calculation gives -4.45 eV/atom. The formation energy comes out at -234 kJ/mol of formula units. The crystal system is tetragonal.